(1)
## Th2Co4Ge3Rh (PBE-GGA)

Data for crystalline Th2Co4Ge3Rh at its relaxed geometry.

Unit cell a=4.0447 b=4.0447 c=10.1233 alpha=90.00 beta=90.00 gamma=90.00
Space group P-4m2 (No. 115)
One atom of each set of equivalent atoms:
Th 0.0000 0.5000 0.2501 [2 per cell]
Co 0.0000 0.0000 0.0000 [1 per cell]
Co 0.0000 0.5000 0.6387 [2 per cell]
Co 0.5000 0.5000 0.0000 [1 per cell]
Ge 0.0000 0.5000 0.8749 [2 per cell]
Ge 0.5000 0.5000 0.5000 [1 per cell]
Rh 0.0000 0.0000 0.5000 [1 per cell]

* calculated formation energy: -0.54 eV/atom



(2)
## TmCoGe2Rh (PBE-GGA)

Data for crystalline TmCoGe2Rh at its relaxed geometry.

Unit cell a=4.0269 b=4.0269 c=10.2392 alpha=90.00 beta=90.00 gamma=90.00
Space group I-4m2 (No. 119)
One atom of each set of equivalent atoms:
Tm 0.0000 0.0000 0.0000 [2 per cell]
Co 0.0000 0.5000 0.2500 [2 per cell]
Ge 0.0000 0.0000 0.3775 [4 per cell]
Rh 0.0000 0.5000 0.7500 [2 per cell]

* calculated formation energy: -0.71 eV/atom



(3)
## U2Co4Ge3Rh (PBE-GGA)

Data for crystalline U2Co4Ge3Rh at its relaxed geometry.

Unit cell a=3.7158 b=3.7158 c=11.0052 alpha=90.00 beta=90.00 gamma=90.00
Space group P-4m2 (No. 115)
One atom of each set of equivalent atoms:
U 0.0000 0.5000 0.2385 [2 per cell]
Co 0.0000 0.0000 0.5000 [1 per cell]
Co 0.0000 0.5000 0.8330 [2 per cell]
Co 0.5000 0.5000 0.5000 [1 per cell]
Ge 0.0000 0.0000 0.0000 [1 per cell]
Ge 0.0000 0.5000 0.6224 [2 per cell]
Rh 0.5000 0.5000 0.0000 [1 per cell]

* calculated formation energy: -0.35 eV/atom



(4)
## UCoGe3Rh (PBE-GGA)

Data for crystalline UCoGe3Rh at its relaxed geometry.

Unit cell a=4.1441 b=12.0891 c=8.0861 alpha=90.00 beta=90.00 gamma=90.00
Space group Cmcm (No. 63)
One atom of each set of equivalent atoms:
U 0.0000 0.1964 0.2500 [4 per cell]
Co 0.0000 0.4824 0.2500 [4 per cell]
Ge 0.0000 0.1273 0.7500 [4 per cell]
Ge 0.0000 0.3761 0.5154 [8 per cell]
Rh 0.0000 0.0000 0.0000 [4 per cell]

* calculated formation energy: -0.31 eV/atom



(5)
## U2Co3Ge4Rh (PBE-GGA)

Data for crystalline U2Co3Ge4Rh at its relaxed geometry.

Unit cell a=4.0439 b=4.0439 c=9.7927 alpha=90.00 beta=90.00 gamma=90.00
Space group P-4m2 (No. 115)
One atom of each set of equivalent atoms:
U 0.0000 0.5000 0.2424 [2 per cell]
Co 0.0000 0.5000 0.8730 [2 per cell]
Co 0.5000 0.5000 0.5000 [1 per cell]
Ge 0.0000 0.0000 0.0000 [1 per cell]
Ge 0.0000 0.5000 0.6392 [2 per cell]
Ge 0.5000 0.5000 0.0000 [1 per cell]
Rh 0.0000 0.0000 0.5000 [1 per cell]

* calculated formation energy: -0.40 eV/atom



(6)
## YCoGe2Rh (PBE-GGA)

Data for crystalline YCoGe2Rh at its relaxed geometry.

Unit cell a=4.0481 b=4.0481 c=10.3187 alpha=90.00 beta=90.00 gamma=90.00
Space group I-4m2 (No. 119)
One atom of each set of equivalent atoms:
Y 0.0000 0.0000 0.0000 [2 per cell]
Co 0.0000 0.5000 0.2500 [2 per cell]
Ge 0.0000 0.0000 0.3762 [4 per cell]
Rh 0.0000 0.5000 0.7500 [2 per cell]

* calculated formation energy: -0.73 eV/atom



(7)
## CoGe2Ru2 (PBE-GGA)

Data for crystalline CoGe2Ru2 at its relaxed geometry.

Unit cell a=7.0135 b=7.0135 c=2.9030 alpha=90.00 beta=90.00 gamma=90.00
Space group P4/mbm (No. 127)
One atom of each set of equivalent atoms:
Co 0.0000 0.0000 0.0000 [2 per cell]
Ge 0.1495 0.3505 0.0000 [4 per cell]
Ru 0.1503 0.6503 0.5000 [4 per cell]

* energy above the most stable polymorph in this dataset: 0.0000 eV/atom
* calculated formation energy: 0.02 eV/atom



(8)
## Co2GeRu2 (PBE-GGA)

Data for crystalline Co2GeRu2 at its relaxed geometry.

Unit cell a=6.9631 b=6.9631 c=2.7548 alpha=90.00 beta=90.00 gamma=90.00
Space group P4/mbm (No. 127)
One atom of each set of equivalent atoms:
Co 0.1188 0.3812 0.0000 [4 per cell]
Ge 0.0000 0.0000 0.0000 [2 per cell]
Ru 0.1753 0.6753 0.5000 [4 per cell]

* calculated formation energy: 0.35 eV/atom



Number 1: size of the total moment 1.391 μB/f.u.. Number 2: size of the total moment 0.000 μB/f.u.. Number 3: size of the total moment 0.027 μB/f.u.. Number 4: size of the total moment 2.880 μB/f.u.. Number 5: size of the total moment 2.847 μB/f.u.. Number 6: size of the total moment 0.000 μB/f.u.. Number 7: size of the total moment 1.856 μB/f.u.. Number 8: size of the total moment 1.947 μB/f.u..